DFT (GGA-PBE) results for crystalline LiErAlTl at its relaxed geometry.

* raw total energy: -3.378 eV per atom
* size of the total moment: 0.0 Bohr magnetons per cell
* energy relative to the elements: -0.23 eV/atom

a = 7.092 Å, b = 7.092 Å, c = 7.092 Å
α = 90.00°, β = 90.00°, γ = 90.00°
Space group F-43m (No. 216)
Unique sites:
Li: 0.000 0.000 0.000 [4 per cell]
Er: 0.000 0.000 0.500 [4 per cell]
Al: 0.250 0.250 0.750 [4 per cell]
Tl: 0.250 0.250 0.250 [4 per cell]

***

DFT (GGA-PBE) results for crystalline LiErAlZn6 at its relaxed geometry.

* raw total energy: -1.988 eV per atom
* size of the total moment: 0.0 Bohr magnetons per cell
* energy relative to the elements: 0.00 eV/atom

a = 6.858 Å, b = 8.933 Å, c = 10.988 Å
α = 90.00°, β = 90.00°, γ = 90.00°
Space group Imma (No. 74)
Unique sites:
Li: 0.250 0.250 0.250 [4 per cell]
Er: 0.000 0.250 0.699 [4 per cell]
Al: 0.000 0.000 0.500 [4 per cell]
Zn: 0.000 0.250 0.015 [4 per cell]
Zn: 0.000 0.250 0.420 [4 per cell]
Zn: 0.185 0.020 0.870 [16 per cell]

***

DFT (GGA-PBE) results for crystalline LiErAlZn at its relaxed geometry.

* raw total energy: -3.156 eV per atom
* size of the total moment: 0.0 Bohr magnetons per cell
* energy relative to the elements: -0.28 eV/atom

a = 6.588 Å, b = 6.588 Å, c = 6.588 Å
α = 90.00°, β = 90.00°, γ = 90.00°
Space group F-43m (No. 216)
Unique sites:
Li: 0.000 0.000 0.000 [4 per cell]
Er: 0.250 0.250 0.250 [4 per cell]
Al: 0.250 0.250 0.750 [4 per cell]
Zn: 0.000 0.000 0.500 [4 per cell]

***

DFT (GGA-PBE) results for crystalline LiErAl2Zn4 at its relaxed geometry.

* raw total energy: -2.620 eV per atom
* size of the total moment: 0.0 Bohr magnetons per cell
* energy relative to the elements: -0.24 eV/atom

a = 4.4517 Å, b = 4.4517 Å, c = 23.3357 Å
α = 90.00°, β = 90.00°, γ = 120.00°
Space group R-3m (No. 166, hexagonal axes)
Unique sites:
Li: 0.0000 0.0000 0.0000 [3 per cell]
Er: 0.0000 0.0000 0.5000 [3 per cell]
Al: 0.0000 0.0000 0.2512 [6 per cell]
Zn: 0.0000 0.0000 0.1103 [6 per cell]
Zn: 0.0000 0.0000 0.3688 [6 per cell]

***

DFT (GGA-PBE) results for crystalline LiErZrAl at its relaxed geometry.

* raw total energy: -4.834 eV per atom
* size of the total moment: 0.0 Bohr magnetons per cell
* energy relative to the elements: -0.14 eV/atom

a = 6.960 Å, b = 6.960 Å, c = 6.960 Å
α = 90.00°, β = 90.00°, γ = 90.00°
Space group F-43m (No. 216)
Unique sites:
Li: 0.000 0.000 0.000 [4 per cell]
Er: 0.250 0.250 0.250 [4 per cell]
Zr: 0.250 0.250 0.750 [4 per cell]
Al: 0.000 0.000 0.500 [4 per cell]

***

DFT (GGA-PBE) results for crystalline ErLuAl2 at its relaxed geometry.

* raw total energy: -4.527 eV per atom
* size of the total moment: 0.0 Bohr magnetons per cell
* energy relative to the elements: -0.38 eV/atom

a = 5.020 Å, b = 5.020 Å, c = 3.535 Å
α = 90.00°, β = 90.00°, γ = 90.00°
Space group P4/mmm (No. 123)
Unique sites:
Er: 0.000 0.000 0.000 [1 per cell]
Lu: 0.500 0.500 0.000 [1 per cell]
Al: 0.000 0.500 0.500 [2 per cell]

***

DFT (GGA-PBE) results for crystalline ErLuAl4 at its relaxed geometry.

* raw total energy: -4.503 eV per atom
* size of the total moment: 0.0 Bohr magnetons per cell
* energy relative to the elements: -0.49 eV/atom

a = 7.787 Å, b = 7.787 Å, c = 7.787 Å
α = 90.00°, β = 90.00°, γ = 90.00°
Space group F-43m (No. 216)
Unique sites:
Er: 0.000 0.000 0.000 [4 per cell]
Lu: 0.250 0.250 0.250 [4 per cell]
Al: 0.125 0.125 0.625 [16 per cell]

***

DFT (GGA-PBE) results for crystalline Er2LuAl at its relaxed geometry.

* raw total energy: -4.423 eV per atom
* size of the total moment: 0.0 Bohr magnetons per cell
* energy relative to the elements: -0.08 eV/atom

a = 7.456 Å, b = 7.456 Å, c = 7.456 Å
α = 90.00°, β = 90.00°, γ = 90.00°
Space group Fm-3m (No. 225)
Unique sites:
Er: 0.250 0.250 0.250 [8 per cell]
Lu: 0.000 0.000 0.000 [4 per cell]
Al: 0.000 0.000 0.500 [4 per cell]

***

| no. | D(E_F) (states/eV per cell) |
| --- | --- |
| 1 | 4.89 |
| 2 | 13.23 |
| 3 | 6.09 |
| 4 | 8.60 |
| 5 | 9.94 |
| 6 | 1.45 |
| 7 | 22.21 |
| 8 | 19.06 |